[1]
Computed, not measured: an optimized crystal structure of Pr4NdDy7 at the PBE-GGA level of DFT.

```
data_Pr4NdDy7
_chemical_formula_sum 'Pr4 Nd1 Dy7'
_space_group_name_H-M_alt 'P -1'
_space_group_IT_number 2
_cell_length_a 6.6311
_cell_length_b 6.9208
_cell_length_c 9.1409
_cell_angle_alpha 84.69
_cell_angle_beta 77.19
_cell_angle_gamma 81.59
loop_
_space_group_symop_operation_xyz
'x,y,z'
'-x,-y,-z'
loop_
_atom_site_label
_atom_site_fract_x
_atom_site_fract_y
_atom_site_fract_z
Pr1 0.1393 0.3054 0.2861
Pr2 0.3346 0.8892 0.6900
Nd1 0.5000 0.5000 0.0000
Dy1 0.0128 0.2507 0.9509
Dy2 0.1811 0.7984 0.3565
Dy3 0.3123 0.3967 0.6173
Dy4 0.5000 0.0000 0.0000
```

## Properties
Total DFT energy (no corrections) = -4.59 eV per atom
Energy of formation = 0.09 eV per atom
Polymorph energy (0 for the lowest one) = 0 meV per atom


[2]
Computed, not measured: an optimized crystal structure of LaTb2Pr6Dy3 at the PBE-GGA level of DFT.

```
data_LaTb2Pr6Dy3
_chemical_formula_sum 'La2 Tb4 Pr12 Dy6'
_space_group_name_H-M_alt 'C 1 2/m 1'
_space_group_IT_number 12
_cell_length_a 6.3406
_cell_length_b 10.9856
_cell_length_c 12.0191
_cell_angle_alpha 90.00
_cell_angle_beta 100.12
_cell_angle_gamma 90.00
loop_
_space_group_symop_operation_xyz
'x,y,z'
'-x,-y,-z'
'-x,y,-z'
'x,-y,z'
'x+1/2,y+1/2,z'
'-x+1/2,-y+1/2,-z'
'-x+1/2,y+1/2,-z'
'x+1/2,-y+1/2,z'
loop_
_atom_site_label
_atom_site_fract_x
_atom_site_fract_y
_atom_site_fract_z
La1 0.0000 0.0000 0.0000
Tb1 0.0000 0.3335 0.0000
Pr1 0.2486 0.3329 0.7474
Pr2 0.2496 0.0000 0.7472
Dy1 0.0000 0.1670 0.5000
Dy2 0.0000 0.5000 0.5000
```

## Properties
Total DFT energy (no corrections) = -4.71 eV per atom
Energy of formation = 0.02 eV per atom


[3]
Computed, not measured: an optimized crystal structure of CrMoAu3 at the PBE-GGA level of DFT.

```
data_CrMoAu3
_chemical_formula_sum 'Cr1 Mo1 Au3'
_space_group_name_H-M_alt 'P m -3 m'
_space_group_IT_number 221
_space_group_name_Hall '-P 4 2 3'
_cell_length_a 5.0125
_cell_length_b 5.0125
_cell_length_c 5.0125
_cell_angle_alpha 90.00
_cell_angle_beta 90.00
_cell_angle_gamma 90.00
loop_
_atom_site_label
_atom_site_fract_x
_atom_site_fract_y
_atom_site_fract_z
Cr1 0.0000 0.0000 0.0000
Mo1 0.5000 0.5000 0.5000
Au1 0.0000 0.5000 0.5000
```

## Properties
Total DFT energy (no corrections) = -4.29 eV per atom
Energy of formation = 1.77 eV per atom
Polymorph energy (0 for the lowest one) = 311 meV per atom


[4]
Computed, not measured: an optimized crystal structure of Mg5Os at the PBE-GGA level of DFT.

```
data_Mg5Os
_chemical_formula_sum 'Mg10 Os2'
_space_group_name_H-M_alt 'C m m m'
_space_group_IT_number 65
_space_group_name_Hall '-C 2 2'
_cell_length_a 4.3733
_cell_length_b 11.8850
_cell_length_c 4.4159
_cell_angle_alpha 90.00
_cell_angle_beta 90.00
_cell_angle_gamma 90.00
loop_
_atom_site_label
_atom_site_fract_x
_atom_site_fract_y
_atom_site_fract_z
Mg1 0.0000 0.0000 0.0000
Mg2 0.0000 0.1516 0.5000
Mg3 0.0000 0.3499 0.0000
Os1 0.0000 0.5000 0.5000
```

## Properties
Total DFT energy (no corrections) = -3.09 eV per atom
Energy of formation = 0.11 eV per atom
Polymorph energy (0 for the lowest one) = 0 meV per atom


[5]
Computed, not measured: an optimized crystal structure of SmPaAg2O8 at the PBE-GGA level of DFT.

```
data_SmPaAg2O8
_chemical_formula_sum 'Sm2 Pa2 Ag4 O16'
_space_group_name_H-M_alt 'I -4 m 2'
_space_group_IT_number 119
_space_group_name_Hall 'I -4 -2'
_cell_length_a 7.3926
_cell_length_b 7.3926
_cell_length_c 6.9237
_cell_angle_alpha 90.00
_cell_angle_beta 90.00
_cell_angle_gamma 90.00
loop_
_atom_site_label
_atom_site_fract_x
_atom_site_fract_y
_atom_site_fract_z
Sm1 0.0000 0.0000 0.0000
Pa1 0.0000 0.5000 0.2500
Ag1 0.0000 0.0000 0.5000
Ag2 0.0000 0.5000 0.7500
O1 0.0000 0.1902 0.2761
O2 0.0000 0.3248 0.9840
```

## Properties
Total DFT energy (no corrections) = -6.41 eV per atom
E_form (uncorrected) = -33.43 kcal/mol of atoms


[6]
Computed, not measured: an optimized crystal structure of CsTl3Se3 at the PBE-GGA level of DFT.

```
data_CsTl3Se3
_chemical_formula_sum 'Cs6 Tl18 Se18'
_space_group_name_H-M_alt 'R -3'
_space_group_IT_number 148
_space_group_name_Hall '-R 3'
_cell_length_a 8.9419
_cell_length_b 8.9419
_cell_length_c 24.7959
_cell_angle_alpha 90.00
_cell_angle_beta 90.00
_cell_angle_gamma 120.00
loop_
_atom_site_label
_atom_site_fract_x
_atom_site_fract_y
_atom_site_fract_z
Cs1 0.0000 0.0000 0.1668
Tl1 0.0053 0.6851 0.6166
Se1 0.0042 0.6533 0.4031
```

## Properties
Total DFT energy (no corrections) = -3.08 eV per atom
E_form (uncorrected) = -10.48 kcal/mol of atoms
Polymorph energy (0 for the lowest one) = 40 meV per atom


[7]
Computed, not measured: an optimized crystal structure of Ca3Pr2PaAs6 at the PBE-GGA level of DFT.

```
data_Ca3Pr2PaAs6
_chemical_formula_sum 'Ca6 Pr4 Pa2 As12'
_space_group_name_H-M_alt 'C 1 2/m 1'
_space_group_IT_number 12
_cell_length_a 7.4193
_cell_length_b 12.8700
_cell_length_c 7.2854
_cell_angle_alpha 90.00
_cell_angle_beta 110.01
_cell_angle_gamma 90.00
loop_
_space_group_symop_operation_xyz
'x,y,z'
'-x,-y,-z'
'-x,y,-z'
'x,-y,z'
'x+1/2,y+1/2,z'
'-x+1/2,-y+1/2,-z'
'-x+1/2,y+1/2,-z'
'x+1/2,-y+1/2,z'
loop_
_atom_site_label
_atom_site_fract_x
_atom_site_fract_y
_atom_site_fract_z
Ca1 0.0000 0.0000 0.0000
Ca2 0.0000 0.3285 0.0000
Pr1 0.0000 0.1664 0.5000
Pa1 0.0000 0.5000 0.5000
As1 0.2370 0.5000 0.2596
As2 0.2387 0.3409 0.7394
```

## Properties
Total DFT energy (no corrections) = -5.65 eV per atom
Energy of formation = -1.24 eV per atom


[8]
Computed, not measured: an optimized crystal structure of KSr2Te at the PBE-GGA level of DFT.

```
data_KSr2Te
_chemical_formula_sum 'K1 Sr2 Te1'
_space_group_name_H-M_alt 'P 1 m 1'
_space_group_IT_number 6
_cell_length_a 4.2788
_cell_length_b 4.2785
_cell_length_c 10.7348
_cell_angle_alpha 90.00
_cell_angle_beta 90.03
_cell_angle_gamma 90.00
loop_
_space_group_symop_operation_xyz
'x,y,z'
'x,-y,z'
loop_
_atom_site_label
_atom_site_fract_x
_atom_site_fract_y
_atom_site_fract_z
K1 0.0000 0.0000 0.0000
Sr1 0.0050 0.0000 0.6513
Sr2 0.5045 0.5000 0.3508
Te1 0.5048 0.5000 0.7842
```

## Properties
Total DFT energy (no corrections) = -2.57 eV per atom
E_form (uncorrected) = -15.49 kcal/mol of atoms


[9]
Computed, not measured: an optimized crystal structure of Nd4HoTm2 at the PBE-GGA level of DFT.

```
data_Nd4HoTm2
_chemical_formula_sum 'Nd16 Ho4 Tm8'
_space_group_name_H-M_alt 'I m m a'
_space_group_IT_number 74
_space_group_name_Hall '-I 2b 2'
_cell_length_a 6.8755
_cell_length_b 11.4076
_cell_length_c 12.1155
_cell_angle_alpha 90.00
_cell_angle_beta 90.00
_cell_angle_gamma 90.00
loop_
_atom_site_label
_atom_site_fract_x
_atom_site_fract_y
_atom_site_fract_z
Nd1 0.0000 0.0040 0.1496
Nd2 0.2207 0.2500 0.9902
Ho1 0.2500 0.2500 0.2500
Tm1 0.0000 0.0000 0.5000
Tm2 0.0000 0.2500 0.7174
```

## Properties
Total DFT energy (no corrections) = -4.40 eV per atom
Energy of formation = 0.26 eV per atom
Polymorph energy (0 for the lowest one) = 198 meV per atom


[10]
Computed, not measured: an optimized crystal structure of La2ZrTlN at the PBE-GGA level of DFT.

```
data_La2ZrTlN
_chemical_formula_sum 'La2 Zr1 Tl1 N1'
_space_group_name_H-M_alt 'P 4/m m m'
_space_group_IT_number 123
_space_group_name_Hall '-P 4 2'
_cell_length_a 5.2244
_cell_length_b 5.2244
_cell_length_c 4.4910
_cell_angle_alpha 90.00
_cell_angle_beta 90.00
_cell_angle_gamma 90.00
loop_
_atom_site_label
_atom_site_fract_x
_atom_site_fract_y
_atom_site_fract_z
La1 0.0000 0.5000 0.0000
Zr1 0.0000 0.0000 0.5000
Tl1 0.5000 0.5000 0.5000
N1 0.0000 0.0000 0.0000
```

## Properties
Total DFT energy (no corrections) = -6.56 eV per atom
E_form (uncorrected) = -17.03 kcal/mol of atoms


[11]
Computed, not measured: an optimized crystal structure of Mn2CdIr at the PBE-GGA level of DFT.

```
data_Mn2CdIr
_chemical_formula_sum 'Mn2 Cd1 Ir1'
_space_group_name_H-M_alt 'P 4/m m m'
_space_group_IT_number 123
_space_group_name_Hall '-P 4 2'
_cell_length_a 3.0279
_cell_length_b 3.0279
_cell_length_c 6.9923
_cell_angle_alpha 90.00
_cell_angle_beta 90.00
_cell_angle_gamma 90.00
loop_
_atom_site_label
_atom_site_fract_x
_atom_site_fract_y
_atom_site_fract_z
Mn1 0.0000 0.0000 0.2227
Cd1 0.5000 0.5000 0.5000
Ir1 0.5000 0.5000 0.0000
```

## Properties
Total DFT energy (no corrections) = -6.95 eV per atom
Energy of formation = 0.08 eV per atom


[12]
Computed, not measured: an optimized crystal structure of Te2AuSN at the PBE-GGA level of DFT.

```
data_Te2AuSN
_chemical_formula_sum 'Te2 Au1 S1 N1'
_space_group_name_H-M_alt 'P 4/m m m'
_space_group_IT_number 123
_space_group_name_Hall '-P 4 2'
_cell_length_a 5.6635
_cell_length_b 5.6635
_cell_length_c 3.7499
_cell_angle_alpha 90.00
_cell_angle_beta 90.00
_cell_angle_gamma 90.00
loop_
_atom_site_label
_atom_site_fract_x
_atom_site_fract_y
_atom_site_fract_z
Te1 0.0000 0.5000 0.0000
Au1 0.0000 0.0000 0.0000
S1 0.5000 0.5000 0.5000
N1 0.0000 0.0000 0.5000
```

## Properties
Total DFT energy (no corrections) = -3.21 eV per atom
E_form (uncorrected) = 27.40 kcal/mol of atoms
Polymorph energy (0 for the lowest one) = 340 meV per atom